An optimized crystal structure of NaHfHg, computed with PBE-GGA.

a b c (Å): 4.767 4.767 4.767
angles (deg): 60.00 60.00 60.00
Sites, in units of the cell vectors:
Na: 0.750 0.750 0.750
Hg: 0.000 0.000 0.000
Hf: 0.250 0.250 0.250

offset from the most stable computed form	0.0	kJ/mol of atoms
SG	No. 216

***

An optimized crystal structure of NaHfHg3O4, computed with PBE-GGA.

a b c (Å): 5.944 5.944 5.944
angles (deg): 90.00 90.00 90.00
Sites, in units of the cell vectors:
O: 0.695 0.695 0.305
O: 0.305 0.305 0.305
Na: 0.000 0.000 0.000
Hg: 0.500 0.000 0.500
Hg: 0.000 0.500 0.500
O: 0.305 0.695 0.695
Hg: 0.500 0.500 0.000
Hf: 0.500 0.500 0.500
O: 0.695 0.305 0.695

SG	No. 215
VASP energy	-0.1681	hartree per atom

***

An optimized crystal structure of NaHfHg3Te4, computed with PBE-GGA.

a b c (Å): 7.725 8.379 11.110
angles (deg): 90.00 108.15 90.00
Sites, in units of the cell vectors:
Hg: 0.686 0.994 0.572
Hg: 0.365 0.750 0.616
Hg: 0.314 0.006 0.428
Te: 0.369 0.750 0.871
Te: 0.857 0.011 0.837
Te: 0.907 0.750 0.489
Te: 0.631 0.250 0.129
Te: 0.143 0.511 0.163
Te: 0.093 0.250 0.511
Te: 0.143 0.989 0.163
Na: 0.208 0.250 0.955
Hg: 0.314 0.494 0.428
Hg: 0.686 0.506 0.572
Hg: 0.635 0.250 0.384
Hf: 0.997 0.250 0.246
Na: 0.792 0.750 0.045
Te: 0.857 0.489 0.837
Hf: 0.003 0.750 0.754

offset from the most stable computed form	0.0	kJ/mol of atoms
SG	No. 11

***

An optimized crystal structure of NaHfHg3Te4, computed with PBE-GGA.

a b c (Å): 7.282 7.282 7.282
angles (deg): 90.00 90.00 90.00
Sites, in units of the cell vectors:
Te: 0.780 0.220 0.220
Hg: 0.000 0.000 0.500
Te: 0.780 0.780 0.780
Te: 0.220 0.780 0.220
Te: 0.220 0.220 0.780
Hg: 0.000 0.500 0.000
Hg: 0.500 0.000 0.000
Na: 0.500 0.500 0.500
Hf: 0.000 0.000 0.000

offset from the most stable computed form	13.0	kJ/mol of atoms
SG	No. 215

***

An optimized crystal structure of HfNb2Hg, computed with PBE-GGA.

a b c (Å): 4.787 4.787 4.787
angles (deg): 60.00 60.00 60.00
Sites, in units of the cell vectors:
Hg: 0.250 0.250 0.250
Nb: 0.750 0.750 0.750
Hf: 0.500 0.500 0.500
Nb: 0.000 0.000 0.000

SG	No. 216
E_form	0.1488	eV per atom

***

An optimized crystal structure of NdHfHg, computed with PBE-GGA.

a b c (Å): 5.035 5.035 5.035
angles (deg): 60.00 60.00 60.00
Site moments in Bohr magnetons follow the coordinates.
Sites, in units of the cell vectors:
Hf: 0.250 0.250 0.250  0.55
Nd: 0.000 0.000 0.000  0.21
Hg: 0.750 0.750 0.750  0.01

offset from the most stable computed form	50.9	kJ/mol of atoms
SG	No. 216
E_form	0.8502	eV per atom

***

An optimized crystal structure of NdHfHg, computed with PBE-GGA.

a b c (Å): 4.990 4.990 4.990
angles (deg): 60.00 60.00 60.00
Site moments in Bohr magnetons follow the coordinates.
Sites, in units of the cell vectors:
Hf: 0.250 0.250 0.250  0.47
Hg: 0.000 0.000 0.000  0.01
Nd: 0.750 0.750 0.750  0.19

offset from the most stable computed form	0.0	kJ/mol of atoms
SG	No. 216
E_form	0.3226	eV per atom

***

An optimized crystal structure of HfNiHg2, computed with PBE-GGA.

a b c (Å): 4.703 4.703 4.703
angles (deg): 60.00 60.00 60.00
Sites, in units of the cell vectors:
Ni: 0.000 0.000 0.000
Hg: 0.500 0.500 0.500
Hf: 0.250 0.250 0.250
Hg: 0.750 0.750 0.750

SG	No. 216
E_form	0.0670	eV per atom

***

An optimized crystal structure of HfNiHgSb, computed with PBE-GGA.

a b c (Å): 4.824 4.824 4.824
angles (deg): 60.00 60.00 60.00
Sites, in units of the cell vectors:
Hg: 0.250 0.250 0.250
Hf: 0.500 0.500 0.500
Ni: 0.750 0.750 0.750
Sb: 0.000 0.000 0.000

offset from the most stable computed form	8.6	kJ/mol of atoms
SG	No. 216

***

An optimized crystal structure of HfNiHgSb, computed with PBE-GGA.

a b c (Å): 4.785 4.785 4.785
angles (deg): 60.00 60.00 60.00
Sites, in units of the cell vectors:
Ni: 0.750 0.750 0.750
Hg: 0.500 0.500 0.500
Hf: 0.250 0.250 0.250
Sb: 0.000 0.000 0.000

offset from the most stable computed form	0.0	kJ/mol of atoms
SG	No. 216

***

An optimized crystal structure of HfSiNiHg, computed with PBE-GGA.

a b c (Å): 4.569 4.569 4.569
angles (deg): 60.00 60.00 60.00
Sites, in units of the cell vectors:
Ni: 0.750 0.750 0.750
Si: 0.000 0.000 0.000
Hf: 0.250 0.250 0.250
Hg: 0.500 0.500 0.500

offset from the most stable computed form	0.0	kJ/mol of atoms
SG	No. 216

***

An optimized crystal structure of HfSiNiHg, computed with PBE-GGA.

a b c (Å): 4.584 4.584 4.584
angles (deg): 60.00 60.00 60.00
Sites, in units of the cell vectors:
Ni: 0.750 0.750 0.750
Hg: 0.250 0.250 0.250
Hf: 0.500 0.500 0.500
Si: 0.000 0.000 0.000

offset from the most stable computed form	10.4	kJ/mol of atoms
SG	No. 216

***

An optimized crystal structure of HfNiSnHg, computed with PBE-GGA.

a b c (Å): 4.758 4.758 4.758
angles (deg): 60.00 60.00 60.00
Sites, in units of the cell vectors:
Hg: 0.500 0.500 0.500
Hf: 0.250 0.250 0.250
Sn: 0.000 0.000 0.000
Ni: 0.750 0.750 0.750

offset from the most stable computed form	0.8	kJ/mol of atoms
SG	No. 216

***

An optimized crystal structure of HfNiSnHg, computed with PBE-GGA.

a b c (Å): 4.775 4.775 4.775
angles (deg): 60.00 60.00 60.00
Sites, in units of the cell vectors:
Hg: 0.250 0.250 0.250
Hf: 0.500 0.500 0.500
Sn: 0.000 0.000 0.000
Ni: 0.750 0.750 0.750

offset from the most stable computed form	0.0	kJ/mol of atoms
SG	No. 216

***

An optimized crystal structure of HfHgO3, computed with PBE-GGA.

a b c (Å): 5.654 5.654 5.654
angles (deg): 64.16 64.16 64.16
Sites, in units of the cell vectors:
O: 0.250 0.574 0.926
O: 0.750 0.426 0.074
O: 0.926 0.250 0.574
Hg: 0.000 0.000 0.000
Hf: 0.750 0.750 0.750
Hg: 0.500 0.500 0.500
Hf: 0.250 0.250 0.250
O: 0.074 0.750 0.426
O: 0.574 0.926 0.250
O: 0.426 0.074 0.750

SG	No. 167
VASP energy	-0.2440	hartree per atom

***

An optimized crystal structure of Hf31HgO64, computed with PBE-GGA.

a b c (Å): 10.022 10.104 10.461
angles (deg): 90.02 90.06 90.41
Sites, in units of the cell vectors:
O: 0.395 0.753 0.758
Hf: 0.765 0.119 0.644
Hf: 0.487 0.632 0.895
Hf: 0.988 0.124 0.892
O: 0.662 0.305 0.686
O: 0.891 0.497 0.743
O: 0.090 0.803 0.442
Hf: 0.257 0.877 0.859
Hf: 0.759 0.874 0.358
Hf: 0.492 0.124 0.392
Hf: 0.258 0.625 0.643
O: 0.855 0.498 0.493
O: 0.095 0.302 0.943
O: 0.589 0.059 0.559
O: 0.352 0.499 0.494
O: 0.162 0.805 0.691
O: 0.896 0.992 0.745
O: 0.854 0.493 0.995
O: 0.085 0.554 0.060
O: 0.868 0.238 0.018
Hf: 0.491 0.877 0.110
Hf: 0.992 0.872 0.609
Hf: 0.992 0.369 0.111
O: 0.588 0.557 0.058
O: 0.661 0.605 0.808
O: 0.161 0.554 0.810
O: 0.158 0.803 0.193
O: 0.853 0.993 0.992
Hf: 0.991 0.122 0.391
O: 0.896 0.249 0.261
O: 0.351 0.501 0.996
O: 0.667 0.821 0.681
Hf: 0.991 0.623 0.392
O: 0.352 0.752 0.010
O: 0.398 0.250 0.758
O: 0.395 0.001 0.742
O: 0.583 0.817 0.941
O: 0.399 0.502 0.745
Hf: 0.259 0.372 0.359
Hf: 0.758 0.867 0.857
O: 0.660 0.053 0.310
O: 0.394 0.501 0.244
Hf: 0.760 0.373 0.360
Hf: 0.491 0.878 0.608
O: 0.086 0.556 0.562
O: 0.661 0.305 0.191
O: 0.660 0.804 0.191
O: 0.355 0.000 0.492
Hf: 0.990 0.872 0.107
O: 0.912 0.238 0.744
O: 0.658 0.554 0.310
Hf: 0.490 0.625 0.392
O: 0.090 0.053 0.558
Hf: 0.992 0.622 0.892
Hf: 0.258 0.874 0.359
O: 0.354 0.749 0.509
Hf: 0.256 0.624 0.143
O: 0.894 0.748 0.258
O: 0.167 0.310 0.689
O: 0.896 0.998 0.242
O: 0.900 0.745 0.754
O: 0.162 0.302 0.192
O: 0.354 0.249 0.507
Hg: 0.746 0.387 0.853
Hf: 0.757 0.623 0.144
O: 0.159 0.552 0.310
O: 0.161 0.054 0.308
O: 0.092 0.049 0.057
O: 0.362 0.251 0.009
Hf: 0.492 0.378 0.113
O: 0.397 0.251 0.259
O: 0.581 0.308 0.941
Hf: 0.259 0.123 0.140
Hf: 0.258 0.125 0.642
Hf: 0.494 0.120 0.890
O: 0.394 0.750 0.259
O: 0.588 0.555 0.559
O: 0.894 0.498 0.242
O: 0.161 0.056 0.809
O: 0.852 0.247 0.505
O: 0.589 0.058 0.060
O: 0.355 0.001 0.992
O: 0.664 0.056 0.810
O: 0.089 0.802 0.941
Hf: 0.760 0.122 0.141
O: 0.090 0.302 0.442
O: 0.394 0.001 0.242
O: 0.589 0.306 0.445
O: 0.589 0.805 0.440
O: 0.855 0.750 0.505
Hf: 0.261 0.374 0.860
O: 0.853 0.744 0.007
O: 0.855 0.998 0.493
Hf: 0.992 0.369 0.607
Hf: 0.485 0.375 0.608
Hf: 0.755 0.630 0.638

offset from the most stable computed form	2.2	kJ/mol of atoms
SG	No. 1

***

An optimized crystal structure of HfHgO3, computed with PBE-GGA.

a b c (Å): 3.482 3.482 5.826
angles (deg): 90.00 90.00 90.00
Sites, in units of the cell vectors:
Hf: 0.000 0.000 0.903
O: 0.500 0.500 0.092
Hg: 0.500 0.500 0.450
O: 0.500 0.000 0.728
O: 0.000 0.500 0.728

SG	No. 99
VASP energy	-0.2462	hartree per atom

***

An optimized crystal structure of HfHgO3, computed with PBE-GGA.

a b c (Å): 5.258 5.545 9.340
angles (deg): 90.00 90.00 90.00
Sites, in units of the cell vectors:
O: 0.227 0.178 0.882
Hf: 0.462 0.433 0.750
O: 0.273 0.678 0.618
O: 0.262 0.835 0.250
Hf: 0.038 0.933 0.750
O: 0.727 0.322 0.382
Hg: 0.000 0.500 0.000
O: 0.727 0.322 0.118
O: 0.227 0.178 0.618
O: 0.738 0.165 0.750
Hg: 0.500 0.000 0.500
O: 0.773 0.822 0.382
Hg: 0.500 0.000 0.000
O: 0.762 0.665 0.750
Hf: 0.962 0.067 0.250
O: 0.273 0.678 0.882
Hf: 0.538 0.567 0.250
Hg: 0.000 0.500 0.500
O: 0.238 0.335 0.250
O: 0.773 0.822 0.118

SG	No. 62
VASP energy	-0.2574	hartree per atom